Ce2PrSe4 | Alexandria | PBE-GGA | relaxed; raw formation energy = -1.8100 eV/atom; space-group type = Imma; distance to the lowest polymorph of the same formula = 0 meV per atom; E_tot = -43.26 eV/f.u.; V = 30.59 A^3/atom
1.0
0.088 -8.385 -1.238
7.338 -4.170 -0.257
2.046 -5.198 6.332
Se Pr Ce
8 2 4
direct
0.747 0.755 0.750
0.760 0.248 0.748
0.240 0.752 0.252
0.253 0.750 0.745
0.243 0.248 0.748
0.757 0.752 0.252
0.253 0.245 0.250
0.747 0.250 0.255
0.500 0.500 0.000
0.000 0.500 0.000
0.000 0.000 0.000
0.000 0.500 0.500
0.500 0.000 0.500
0.000 0.000 0.500